Compound: Ag2IrRh
Source: Alexandria
Functional: PBE
Structure: relaxed

Cell: 6.3685 6.3685 6.3685 Å, 90.00 90.00 90.00°
Space group F-43m (No. 216)
Unique sites:
Ag: 0.0000 0.0000 0.0000 x4
Ag: 0.2500 0.2500 0.2500 x4
Ir: 0.0000 0.0000 0.5000 x4
Rh: 0.2500 0.2500 0.7500 x4

## Properties
N(E_F) in states/eV/f.u.: 4.852
Formation enthalpy at 0 K in eV per atom: 0.4871
Relative energy among the computed polymorphs in eV per formula unit: 1.27